# 1
The following is a DFT calculation (PBE) of YHgW after structural relaxation.

Properties
Magnetization = 7.33 μB/cell
DFT formation energy = 1.040 eV/atom
Crystal system = cubic

a b c (Å): 6.6785 6.6785 6.6785
angles (deg): 90.00 90.00 90.00
Space group F-43m (No. 216)
One atom of each set of equivalent atoms:
1 Y 0.0000 0.0000 0.0000 x4
2 Hg 0.2500 0.2500 0.7500 x4
3 W 0.0000 0.0000 0.5000 x4


# 2
The following is a DFT calculation (PBE) of CsNiSbTe3 after structural relaxation.

Properties
Magnetization = 6.83 μB/cell
Energy = -3.620 eV/atom
Crystal system = orthorhombic

a b c (Å): 4.3730 16.9030 11.7338
angles (deg): 90.00 90.00 90.00
Space group Cmcm (No. 63)
One atom of each set of equivalent atoms:
1 Cs 0.0000 0.2401 0.2500 x4
2 Ni 0.0000 0.0351 0.7500 x4
3 Sb 0.0000 0.5000 0.0000 x4
4 Te 0.0000 0.1187 0.5662 x8
5 Te 0.0000 0.4543 0.7500 x4


# 3
The following is a DFT calculation (PBE) of FeTcPtPb after structural relaxation.

Properties
Magnetization = 7.45 μB/cell
Energy = -6.668 eV/atom
Crystal system = cubic

a b c (Å): 6.4081 6.4081 6.4081
angles (deg): 90.00 90.00 90.00
Space group F-43m (No. 216)
One atom of each set of equivalent atoms:
1 Fe 0.0000 0.0000 0.0000 x4
2 Tc 0.0000 0.0000 0.5000 x4
3 Pt 0.2500 0.2500 0.2500 x4
4 Pb 0.2500 0.2500 0.7500 x4


# 4
The following is a DFT calculation (PBE) of Hf2NbBi after structural relaxation.

Properties
Magnetization = 0.01 μB/cell
Energy = -8.632 eV/atom
Crystal system = tetragonal

a b c (Å): 3.6717 3.6717 6.4236
angles (deg): 90.00 90.00 90.00
Space group P4/mmm (No. 123)
One atom of each set of equivalent atoms:
1 Hf 0.0000 0.0000 0.2346 x2
2 Nb 0.5000 0.5000 0.0000 x1
3 Bi 0.5000 0.5000 0.5000 x1


# 5
The following is a DFT calculation (PBE) of PrCoGe after structural relaxation.

Properties
Magnetization = 6.66 μB/cell
Energy = -4.945 eV/atom
Crystal system = cubic

a b c (Å): 6.6693 6.6693 6.6693
angles (deg): 90.00 90.00 90.00
Space group F-43m (No. 216)
One atom of each set of equivalent atoms:
1 Pr 0.0000 0.0000 0.0000 x4
2 Co 0.2500 0.2500 0.7500 x4
3 Ge 0.2500 0.2500 0.2500 x4


# 6
The following is a DFT calculation (PBE) of Zr2AuC after structural relaxation.

Properties
Magnetization = 0.08 μB/cell
Energy = -8.118 eV/atom
Crystal system = orthorhombic

a b c (Å): 3.2839 17.4431 4.7156
angles (deg): 90.00 90.00 90.00
Space group Cmcm (No. 63)
One atom of each set of equivalent atoms:
1 Zr 0.0000 0.1044 0.2500 x4
2 Zr 0.0000 0.2888 0.2500 x4
3 Au 0.0000 0.4550 0.2500 x4
4 C 0.0000 0.3035 0.7500 x4


- Number 3 is which compound?
  FeTcPtPb